{"formula": "Rb2InSiBr6", "functional": "PBE-GGA", "state": "relaxed", "lattice_angstrom": [[-0.1714, 7.2908, 3.0938], [-7.7514, 0.4809, -1.5627], [-5.1059, 1.7313, 5.7794]], "species": ["Br", "Br", "Br", "Br", "Br", "Br", "Si", "Rb", "Rb", "In"], "frac_coords": [[0.7363, 0.7363, 0.5275], [0.7361, 0.7361, 0.0000], [0.2639, 0.2639, 0.0000], [0.2639, 0.7361, 0.0000], [0.7361, 0.2639, 0.0000], [0.2637, 0.2637, 0.4725], [0.5000, 0.5000, 0.0000], [0.7500, 0.2500, 0.5000], [0.2500, 0.7500, 0.5000], [0.0000, 0.0000, 0.0000]], "raw_formation_energy_ev_per_atom": -1.028}



{"formula": "Li8Hg2Pb", "functional": "PBE-GGA", "state": "relaxed", "lattice_angstrom": [[4.7868, -0.2010, -0.3018], [-1.0721, 7.3128, -0.4047], [-1.0721, -3.1899, 6.5928]], "species": ["Pb", "Li", "Li", "Li", "Li", "Li", "Li", "Li", "Li", "Hg", "Hg"], "frac_coords": [[0.5000, 0.0000, 0.0000], [0.1053, 0.0798, 0.3038], [0.6810, 0.3841, 0.3841], [0.1053, 0.3038, 0.0798], [0.5000, 0.2219, 0.7781], [0.3190, 0.6159, 0.6159], [0.8947, 0.6962, 0.9202], [0.8947, 0.9202, 0.6962], [0.5000, 0.7781, 0.2219], [0.0000, 0.3155, 0.6845], [0.0000, 0.6845, 0.3155]], "formation_energy_ev_per_fu": -2.59, "de_polymorph_mev_per_atom": 50}



{"formula": "Sm5Hg2Rh", "functional": "PBE-GGA", "state": "relaxed", "lattice_angstrom": [[-0.1108, 4.1864, 4.0084], [-6.2553, -2.0320, -2.2426], [-0.4327, -8.8093, 9.1887]], "species": ["Hg", "Hg", "Hg", "Hg", "Sm", "Sm", "Sm", "Sm", "Sm", "Sm", "Sm", "Sm", "Sm", "Sm", "Rh", "Rh"], "frac_coords": [[0.1819, 0.3638, 0.8699], [0.8181, 0.6362, 0.3699], [0.1819, 0.3638, 0.6301], [0.8181, 0.6362, 0.1301], [0.0747, 0.1493, 0.3949], [0.6283, 0.2566, 0.5661], [0.9253, 0.8507, 0.8949], [0.0747, 0.1493, 0.1051], [0.9253, 0.8507, 0.6051], [0.6046, 0.2092, 0.2500], [0.6283, 0.2566, 0.9339], [0.3954, 0.7909, 0.7500], [0.3717, 0.7434, 0.0661], [0.3717, 0.7434, 0.4339], [0.7633, 0.5266, 0.7500], [0.2367, 0.4734, 0.2500]], "formation_energy_ev_per_fu": -1.77, "de_polymorph_mev_per_atom": 236}



{"formula": "SbTe3", "functional": "PBE-GGA", "state": "relaxed", "lattice_angstrom": [[-3.3797, 1.8700, 1.2240], [0.1421, -1.7393, -3.6568], [-2.8989, -7.5004, 3.4548]], "species": ["Te", "Te", "Te", "Sb"], "frac_coords": [[0.6667, 0.3333, 0.7606], [0.6667, 0.3333, 0.2394], [0.0000, 0.0000, 0.5000], [0.0000, 0.0000, 0.0000]], "de_polymorph_mev_per_atom": 140, "raw_formation_energy_ev_per_atom": 0.149}



{"formula": "ZnCu2Hg", "functional": "PBE-GGA", "state": "relaxed", "lattice_angstrom": [[-1.8719, -1.8641, 2.7939], [0.5086, -3.3190, -1.8737], [7.2071, -3.8809, 4.8853]], "species": ["Cu", "Cu", "Cu", "Cu", "Zn", "Zn", "Hg", "Hg"], "frac_coords": [[0.3750, 0.4017, 0.7500], [0.5983, 0.1250, 0.2500], [0.8750, 0.8483, 0.7500], [0.1517, 0.6250, 0.2500], [0.2500, 0.7500, 0.5000], [0.5000, 0.5000, 0.0000], [0.7500, 0.2500, 0.5000], [0.0000, 0.0000, 0.0000]], "formation_energy_ev_per_fu": 1.14}



{"formula": "Na8Cd2Bi", "functional": "PBE-GGA", "state": "relaxed", "lattice_angstrom": [[-1.5843, 1.9254, 4.7443], [-1.7261, -7.4693, 2.4581], [9.0997, 1.9924, -0.7738]], "species": ["Na", "Na", "Na", "Na", "Na", "Na", "Na", "Na", "Cd", "Cd", "Bi"], "frac_coords": [[0.1370, 0.5260, 0.9096], [0.6370, 0.2051, 0.9097], [0.9775, 0.0268, 0.5917], [0.3339, 0.8719, 0.3058], [0.9388, 0.4728, 0.5127], [0.2959, 0.3451, 0.2268], [0.7469, 0.9662, 0.1321], [0.5231, 0.7435, 0.6826], [0.4788, 0.2963, 0.5923], [0.7953, 0.6143, 0.2281], [0.1359, 0.9320, 0.9087]], "formation_energy_ev_per_fu": -1.32, "de_polymorph_mev_per_atom": 17}



{"formula": "FeRu2Au", "functional": "PBE-GGA", "state": "relaxed", "lattice_angstrom": [[-2.2694, -7.9305, 3.8809], [-0.7464, -6.9081, 5.9013], [-3.3867, -6.2447, 5.7130]], "species": ["Au", "Ru", "Ru", "Fe"], "frac_coords": [[0.2500, 0.2500, 0.2500], [0.4915, 0.4915, 0.4915], [0.0085, 0.0085, 0.0085], [0.7500, 0.7500, 0.7500]], "formation_energy_ev_per_fu": 1.11, "de_polymorph_mev_per_atom": 78}



{"formula": "SeBr3O", "functional": "PBE-GGA", "state": "relaxed", "lattice_angstrom": [[4.7654, 0.0000, 0.0000], [0.0000, 4.7654, 0.0000], [0.0000, 0.0000, 4.7654]], "species": ["Br", "Br", "Br", "O", "Se"], "frac_coords": [[0.5000, 0.0000, 0.0000], [0.0000, 0.5000, 0.0000], [0.0000, 0.0000, 0.5000], [0.0000, 0.0000, 0.0000], [0.5000, 0.5000, 0.5000]], "de_polymorph_mev_per_atom": 992, "raw_formation_energy_ev_per_atom": 0.823}



{"formula": "Nd3DyAl2", "functional": "PBE-GGA", "state": "relaxed", "lattice_angstrom": [[5.1790, 0.0000, 0.0000], [-2.5895, 10.9463, -0.2001], [0.0000, -5.1555, 6.2542]], "species": ["Nd", "Nd", "Nd", "Nd", "Nd", "Nd", "Al", "Al", "Al", "Al", "Dy", "Dy"], "frac_coords": [[0.6158, 0.2316, 0.6910], [0.0611, 0.1222, 0.2945], [0.3842, 0.7684, 0.3090], [0.6823, 0.3646, 0.3713], [0.9389, 0.8778, 0.7055], [0.3177, 0.6354, 0.6287], [0.7767, 0.5535, 0.2131], [0.4678, 0.9357, 0.1010], [0.5322, 0.0643, 0.8990], [0.2233, 0.4465, 0.7869], [0.8396, 0.6793, 0.9587], [0.1604, 0.3207, 0.0413]], "formation_energy_ev_per_fu": -1.29, "de_polymorph_mev_per_atom": 41}



{"formula": "NbPd5Au4", "functional": "PBE-GGA", "state": "relaxed", "lattice_angstrom": [[-1.4065, 0.8608, 2.9661], [-0.0718, -3.2674, 0.9142], [13.2659, 1.3582, 5.8966]], "species": ["Nb", "Au", "Au", "Au", "Au", "Pd", "Pd", "Pd", "Pd", "Pd"], "frac_coords": [[0.0000, 0.0000, 0.0000], [0.0000, 0.0000, 0.8035], [0.0000, 0.0000, 0.3989], [0.0000, 0.0000, 0.6011], [0.0000, 0.0000, 0.1965], [0.5000, 0.5000, 0.5000], [0.5000, 0.5000, 0.0941], [0.5000, 0.5000, 0.2970], [0.5000, 0.5000, 0.7030], [0.5000, 0.5000, 0.9059]], "formation_energy_ev_per_fu": -1.51}



{"formula": "MgBi2Pb", "functional": "PBE-GGA", "state": "relaxed", "lattice_angstrom": [[4.8279, 0.0000, 0.0000], [2.4139, 4.1811, 0.0000], [2.4139, 1.3937, 6.4393]], "species": ["Mg", "Pb", "Bi", "Bi"], "frac_coords": [[0.6699, 0.6699, 0.9904], [0.4974, 0.4974, 0.5079], [0.0689, 0.0689, 0.7932], [0.2639, 0.2639, 0.2084]], "formation_energy_ev_per_fu": 0.00}



{"formula": "SrBiNF2", "functional": "PBE-GGA", "state": "relaxed", "lattice_angstrom": [[-1.1984, 2.1909, 3.9310], [3.5310, -2.0644, 2.2270], [2.7498, 3.5020, -1.1135]], "species": ["F", "F", "N", "Sr", "Bi"], "frac_coords": [[0.0000, 0.5000, 0.0000], [0.5000, 0.0000, 0.0000], [0.0000, 0.0000, 0.5000], [0.5000, 0.5000, 0.5000], [0.0000, 0.0000, 0.0000]], "de_polymorph_mev_per_atom": 0, "raw_formation_energy_ev_per_atom": -1.313}



no.,total DFT energy (no corrections) (eV/atom)
1,-3.042
2,-2.019
3,-4.165
4,-3.238
5,-2.156
6,-1.599
7,-7.295
8,-1.870
9,-4.613
10,-5.065
11,-3.267
12,-4.839